Compound: ScIr2S
Source: Alexandria via LeMat-Bulk
Functional: PBE
Structure: relaxed

Output
- Volume: 67.14 Å³/f.u.
- E_tot: -0.270 Ha/atom
- Spin magnetization: 0.00 μB/f.u.
- Formation energy without anion corrections: -0.29 eV/atom
- Space-group type: No. 122

Structure (POSCAR):
```
ScIr2S
1.0
3.707 0.000 0.000
0.000 3.707 0.000
1.853 1.853 9.771
Sc S Ir
2 2 4
Cartesian
0.000 0.000 0.000
3.707 1.853 4.886
1.853 1.853 0.000
1.853 3.707 4.886
2.759 0.927 2.443
0.947 2.780 2.443
2.780 2.801 7.328
4.634 4.613 7.328
```